(1)
VASP calculation (GGA-PBE) on crystalline Bi5O7F at its relaxed geometry.

- Formation energy (no corrections): -1.318 eV per atom
- Crystal system: orthorhombic
- Calculated total energy: -0.20671 Ha/atom
- Symmetry: No. 73
- Excess energy over the best structure of this formula in the dataset: 21 meV per atom

The structure in POSCAR format:
```
Bi5O7F
1.0
-2.6306 7.9885 12.0439
2.6306 -7.9885 12.0439
2.6306 7.9885 -12.0439
Bi O F
20 28 4
Cartesian
2.8058 1.2804 -1.5471 Bi
2.6306 3.9943 -4.7697 Bi
2.7088 6.6999 -7.3928 Bi
-0.1753 1.2804 1.5471 Bi
2.7088 -1.2886 7.3928 Bi
2.7088 1.2886 4.6510 Bi
2.4553 6.7081 -1.5471 Bi
0.0782 1.2886 7.3928 Bi
0.0000 3.9943 4.7697 Bi
0.1753 6.7081 1.5471 Bi
2.4553 1.2804 10.4968 Bi
2.6306 3.9943 7.2742 Bi
2.5523 6.6999 4.6510 Bi
0.1753 1.2804 13.5909 Bi
-0.0782 6.6999 7.3928 Bi
-0.0782 9.2772 4.6510 Bi
2.8058 6.7081 10.4968 Bi
-0.0782 1.2886 19.4367 Bi
0.0000 3.9943 16.8136 Bi
-0.1753 6.7081 13.5909 Bi
0.3648 -0.7810 1.2979 O
2.3884 -1.1732 3.6420 O
1.3045 -2.6650 6.0113 O
3.9351 -2.6650 6.0325 O
2.9953 0.7810 1.2979 O
-0.2422 1.1732 3.6420 O
1.2917 0.0000 6.0219 O
3.9223 0.0000 6.0219 O
2.3884 6.8154 -3.6420 O
0.3648 7.2076 -1.2979 O
3.9351 2.6650 6.0113 O
1.3045 2.6650 6.0325 O
2.3884 1.1732 8.4019 O
0.3648 0.7810 10.7460 O
2.2658 7.2076 1.2979 O
0.2422 6.8154 3.6420 O
1.3260 5.3236 6.0113 O
-1.3045 5.3236 6.0325 O
2.2658 0.7810 13.3418 O
0.2422 1.1732 15.6859 O
-1.2917 7.9885 6.0219 O
1.3389 7.9885 6.0219 O
2.8728 6.8154 8.4019 O
-0.3648 7.2076 10.7460 O
-1.3045 10.6535 6.0113 O
1.3260 10.6535 6.0325 O
0.2422 9.1617 8.4019 O
2.2658 8.7695 10.7460 O
2.6306 -3.9943 8.3385 F
2.6306 3.9943 3.7053 F
0.0000 3.9943 8.3385 F
0.0000 11.9828 3.7053 F
```

(2)
VASP calculation (GGA-PBE) on crystalline BiOF at its relaxed geometry.

- Formation energy (no corrections): -1.832 eV per atom
- Crystal system: orthorhombic
- Calculated total energy: -0.19851 Ha/atom
- Symmetry: No. 61

The structure in POSCAR format:
```
BiOF
1.0
5.7711 0.0000 0.0000
0.0000 11.9487 0.0000
0.0000 0.0000 12.2639
Bi O F
16 16 16
Cartesian
1.1700 0.1622 1.4269 Bi
1.1700 5.8121 7.5589 Bi
1.3894 8.6157 4.3851 Bi
1.3894 9.3073 10.5171 Bi
1.4962 2.6413 4.3851 Bi
1.4962 3.3330 10.5171 Bi
1.7155 6.1366 1.4269 Bi
1.7155 11.7864 7.5589 Bi
4.0555 0.1622 4.7050 Bi
4.0555 5.8121 10.8370 Bi
4.2749 8.6157 1.7469 Bi
4.2749 9.3073 7.8788 Bi
4.3817 2.6413 1.7469 Bi
4.3817 3.3330 7.8788 Bi
4.6011 6.1366 4.7050 Bi
4.6011 11.7864 10.8370 Bi
0.2579 1.6250 2.9259 O
0.2579 4.3493 9.0579 O
0.7163 6.8519 5.5119 O
0.7163 11.0711 11.6439 O
2.1693 0.8776 5.5119 O
2.1693 5.0967 11.6439 O
2.6276 7.5994 2.9259 O
2.6276 10.3236 9.0579 O
3.1434 1.6250 3.2060 O
3.1434 4.3493 9.3380 O
3.6018 6.8519 0.6201 O
3.6018 11.0711 6.7520 O
5.0548 0.8776 0.6201 O
5.0548 5.0967 6.7520 O
5.5132 7.5994 3.2060 O
5.5132 10.3236 9.3380 O
0.1904 7.4611 8.7922 F
0.1904 10.4619 2.6602 F
0.4840 7.9731 0.4223 F
0.4840 9.9499 6.5542 F
2.4016 1.9988 0.4223 F
2.4016 3.9756 6.5542 F
2.6951 1.4867 8.7922 F
2.6951 4.4876 2.6602 F
3.0760 7.4611 9.6037 F
3.0760 10.4619 3.4717 F
3.3695 7.9731 5.7097 F
3.3695 9.9499 11.8417 F
5.2871 1.9988 5.7097 F
5.2871 3.9756 11.8417 F
5.5807 1.4867 9.6037 F
5.5807 4.4876 3.4717 F
```

(3)
VASP calculation (GGA-PBE) on crystalline BiOF at its relaxed geometry.

- Formation energy (no corrections): -1.845 eV per atom
- Crystal system: tetragonal
- Calculated total energy: -0.19899 Ha/atom
- Symmetry: No. 129

The structure in POSCAR format:
```
BiOF
1.0
4.0129 0.0000 0.0000
0.0000 4.0129 0.0000
0.0000 0.0000 5.8063
Bi O F
2 2 2
Cartesian
1.0032 1.0032 1.2531 Bi
3.0097 3.0097 4.5531 Bi
1.0032 3.0097 0.0000 O
3.0097 1.0032 0.0000 O
1.0034 3.0093 2.9025 F
3.0095 1.0036 2.9037 F
```

(4)
VASP calculation (GGA-PBE) on crystalline Bi3OF at its relaxed geometry.

- Formation energy (no corrections): -0.321 eV per atom
- Crystal system: cubic
- Calculated total energy: -0.14755 Ha/atom
- Symmetry: No. 221
- Excess energy over the best structure of this formula in the dataset: 0 meV per atom

The structure in POSCAR format:
```
Bi3OF
1.0
4.9147 0.0000 0.0000
0.0000 4.9147 0.0000
0.0000 0.0000 4.9147
Bi O F
3 1 1
Cartesian
0.0000 0.0000 2.4574 Bi
0.0000 2.4574 0.0000 Bi
2.4574 0.0000 0.0000 Bi
0.0000 0.0000 0.0000 O
2.4574 2.4574 2.4574 F
```

(5)
VASP calculation (GGA-PBE) on crystalline BiOF at its relaxed geometry.

- Formation energy (no corrections): -1.775 eV per atom
- Crystal system: monoclinic
- Calculated total energy: -0.19645 Ha/atom
- Symmetry: No. 14

The structure in POSCAR format:
```
BiOF
1.0
7.4389 0.0000 0.0000
0.0000 11.0050 0.0000
-2.5848 0.0000 7.2732
Bi O F
12 12 12
Cartesian
-0.4748 1.8873 2.6747 Bi
-1.7672 3.6152 6.3113 Bi
1.7731 0.3047 0.3088 Bi
0.4807 5.1979 3.9454 Bi
3.1328 7.2867 0.0122 Bi
1.8404 9.2209 3.6488 Bi
3.0137 1.7842 3.6244 Bi
1.7213 3.7183 7.2609 Bi
4.3734 5.8072 3.3278 Bi
3.0810 10.7004 6.9644 Bi
6.6213 7.3898 0.9619 Bi
5.3289 9.1177 4.5984 Bi
-0.1862 1.2509 0.5706 O
-1.4787 4.2517 4.2072 O
-0.1559 2.4827 7.1673 O
1.1366 3.0198 3.5307 O
1.4974 0.5083 2.6212 O
0.2050 4.9942 6.2578 O
4.6491 6.0108 1.0154 O
3.3567 10.4968 4.6520 O
3.7175 7.9852 3.7425 O
5.0099 8.5223 0.1059 O
6.3327 6.7534 3.0660 O
5.0403 9.7542 6.7025 O
-1.9076 7.1934 5.7526 F
-0.6152 9.3141 2.1160 F
1.8260 6.4580 1.8485 F
0.5336 10.0496 5.4851 F
1.1886 7.3180 5.0074 F
2.4810 9.1895 1.3708 F
2.3730 1.8155 5.9023 F
3.6654 3.6870 2.2657 F
4.3205 0.9555 1.7881 F
3.0281 4.5470 5.4247 F
5.4692 1.6909 5.1572 F
6.7616 3.8116 1.5206 F
```

(6)
VASP calculation (GGA-PBE) on crystalline BiOF at its relaxed geometry.

- Formation energy (no corrections): -1.603 eV per atom
- Crystal system: trigonal
- Calculated total energy: -0.19010 Ha/atom
- Symmetry: No. 156

The structure in POSCAR format:
```
BiOF
1.0
3.7025 0.0000 0.0000
-1.8513 3.2065 0.0000
0.0000 0.0000 4.7854
Bi O F
1 1 1
Cartesian
0.0000 0.0000 0.0000 Bi
0.0000 2.1376 3.9429 O
1.8513 1.0688 1.2791 F
```